(1)
A plane-wave DFT calculation with GGA-PBE was carried out for a relaxed RbTc2Pd crystal.

Unit cell a=4.661 b=4.661 c=19.275 alpha=90.00 beta=90.00 gamma=90.00
Space group I4_1/amd (No. 141, origin choice 2)
Inequivalent atoms, fractional coordinates:
Rb (0.000, 0.250, 0.375)
Tc (0.000, 0.000, 0.000)
Pd (0.000, 0.250, 0.875)

Properties
- polymorph energy (0 for the lowest one) (eV per atom) = 0.0000
- spin magnetization (μB/f.u.) = 0.0
- energy (eV per atom) = -5.335
- energy of formation from the pure elements (eV per atom) = 1.388

***

(2)
A plane-wave DFT calculation with GGA-PBE was carried out for a relaxed RbTcPd crystal.

Unit cell a=9.300 b=3.276 c=10.782 alpha=90.00 beta=90.00 gamma=90.00
Space group Pnma (No. 62)
Inequivalent atoms, fractional coordinates:
Rb (0.070, 0.250, 0.169)
Tc (0.077, 0.250, 0.531)
Pd (0.241, 0.750, 0.400)

Properties
- polymorph energy (0 for the lowest one) (eV per atom) = 0.3558
- spin magnetization (μB/f.u.) = 0.0
- energy (eV per atom) = -4.882
- energy of formation from the pure elements (eV per atom) = 0.627

***

(3)
A plane-wave DFT calculation with GGA-PBE was carried out for a relaxed Rb2TcPd crystal.

Unit cell a=12.709 b=12.709 c=5.045 alpha=90.00 beta=90.00 gamma=90.00
Space group I-42d (No. 122)
Inequivalent atoms, fractional coordinates:
Rb (0.079, 0.250, 0.125)
Tc (0.000, 0.000, 0.500)
Pd (0.000, 0.000, 0.000)

Properties
- polymorph energy (0 for the lowest one) (eV per atom) = 0.0000
- spin magnetization (μB/f.u.) = 3.8
- energy (eV per atom) = -3.346
- energy of formation from the pure elements (eV per atom) = 1.027